Record 1
The following is a DFT calculation (PBE) of an optimized crystal structure of NiOs2Br.

Output
E above lowest polymorph = 680 meV per atom
Uncorrected energy = -6.170 eV per atom
Magnetic moment = 0.0 μB per formula unit

a b c (Å): 6.117 6.117 6.117
angles (deg): 90.00 90.00 90.00
Space group Fm-3m (No. 225)
Inequivalent atoms, fractional coordinates:
Ni1 0.000 0.000 0.000 x4
Os1 0.250 0.250 0.250 x8
Br1 0.000 0.000 0.500 x4

***

Record 2
The following is a DFT calculation (PBE) of an optimized crystal structure of NiHg4Os.

Output
Uncorrected energy = -1.844 eV per atom
Magnetic moment = 2.2 μB per formula unit

a b c (Å): 7.892 7.892 7.892
angles (deg): 90.00 90.00 90.00
Space group F-43m (No. 216)
Inequivalent atoms, fractional coordinates:
Ni1 0.000 0.000 0.000 x4
Hg1 0.125 0.125 0.375 x16
Os1 0.250 0.250 0.750 x4

***

Record 3
The following is a DFT calculation (PBE) of an optimized crystal structure of Cu3AgI4.

Output
Uncorrected energy = -2.828 eV per atom
Magnetic moment = 0.0 μB per formula unit

a b c (Å): 8.751 7.578 7.211
angles (deg): 90.00 90.00 90.00
Space group Pmn2_1 (No. 31)
Inequivalent atoms, fractional coordinates:
Cu1 0.000 0.173 0.000 x2
Cu2 0.250 0.335 0.501 x4
Ag1 0.000 0.836 0.496 x2
I1 0.000 0.189 0.635 x2
I2 0.000 0.839 0.100 x2
I3 0.237 0.342 0.137 x4

***

Record 4
The following is a DFT calculation (PBE) of an optimized crystal structure of MgMn2Ir2.

Output
E above lowest polymorph = 19 meV per atom
Uncorrected energy = -7.595 eV per atom
Magnetic moment = 2.2 μB per formula unit

a b c (Å): 7.257 7.257 2.706
angles (deg): 90.00 90.00 90.00
Space group P4/mbm (No. 127)
Inequivalent atoms, fractional coordinates:
Mg1 0.000 0.000 0.000 x2
Mn1 0.114 0.386 0.000 x4
Ir1 0.178 0.678 0.500 x4

***

Record 5
The following is a DFT calculation (PBE) of an optimized crystal structure of Na3LiH2F6.

Output
Uncorrected energy = -4.211 eV per atom
Magnetic moment = 0.0 μB per formula unit

a b c (Å): 5.1140 5.1140 5.7603
angles (deg): 90.00 90.00 120.00
Space group P-3m1 (No. 164)
Inequivalent atoms, fractional coordinates:
Na1 0.0000 0.0000 0.0000 x1
Na2 0.3333 0.6667 0.6745 x2
Li1 0.0000 0.0000 0.5000 x1
H1 0.3333 0.6667 0.2701 x2
F1 0.1800 0.3601 0.2816 x6

***

Record 6
The following is a DFT calculation (PBE) of an optimized crystal structure of FeAs3.

Output
E above lowest polymorph = 32 meV per atom
Uncorrected energy = -5.524 eV per atom
Magnetic moment = 0.0 μB per formula unit

a b c (Å): 8.333 11.294 3.678
angles (deg): 90.00 90.00 90.00
Space group Cmcm (No. 63)
Inequivalent atoms, fractional coordinates:
Fe1 0.000 0.075 0.250 x4
As1 0.000 0.256 0.750 x4
As2 0.196 0.096 0.750 x8

***

Record 7
The following is a DFT calculation (PBE) of an optimized crystal structure of Al2TePbS6.

Output
Uncorrected energy = -4.425 eV per atom
Magnetic moment = 0.0 μB per formula unit

a b c (Å): 12.596 11.462 7.213
angles (deg): 90.00 104.40 90.00
Space group C2/c (No. 15)
Inequivalent atoms, fractional coordinates:
Al1 0.192 0.088 0.203 x8
Te1 0.000 0.232 0.750 x4
Pb1 0.000 0.406 0.250 x4
S1 0.123 0.371 0.643 x8
S2 0.134 0.266 0.089 x8
S3 0.145 0.052 0.481 x8

***

Record 8
The following is a DFT calculation (PBE) of an optimized crystal structure of Er2MgPt3.

Output
Uncorrected energy = -5.735 eV per atom
Magnetic moment = 0.0 μB per formula unit

a b c (Å): 4.296 5.516 10.812
angles (deg): 90.00 90.00 90.00
Space group Immm (No. 71)
Inequivalent atoms, fractional coordinates:
Er1 0.000 0.000 0.181 x4
Mg1 0.000 0.000 0.500 x2
Pt1 0.000 0.500 0.138 x4
Pt2 0.000 0.500 0.500 x2